Record 1
Compound: La2Sb3AsPt4
Source: the Alexandria database
Functional: PBE
Structure: relaxed

Summary:
Theoretical density: 11.0 Mg/m³
Formation energy from raw total energies: -0.915 eV per atom
Volume: 22.602 Å³/atom
Uncorrected energy: -6.02 eV/atom

a b c (Å): 4.6924 4.6924 10.2647
angles (deg): 90.00 90.00 90.00
Atoms (fractional coordinates):
1 Pt 0.0000 0.5000 0.3847
2 Pt 0.5000 0.0000 0.6153
3 Pt 0.5000 0.5000 0.0000
4 Pt 0.0000 0.0000 0.0000
5 Sb 0.0000 0.5000 0.1298
6 Sb 0.0000 0.0000 0.5000
7 Sb 0.5000 0.0000 0.8702
8 As 0.5000 0.5000 0.5000
9 La 0.0000 0.5000 0.7524
10 La 0.5000 0.0000 0.2476

---

Record 2
Compound: TmGa2Tc2B
Source: the Alexandria database
Functional: PBE
Structure: relaxed

Summary:
Theoretical density: 8.9 Mg/m³
Volume: 16.099 Å³/atom
Formation energy: -0.433 eV per atom
Uncorrected energy: -6.76 eV/atom

a b c (Å): 4.2222 4.2222 5.4184
angles (deg): 90.00 90.00 90.00
Atoms (fractional coordinates):
1 Ga 0.5000 0.5000 0.2746
2 Ga 0.5000 0.5000 0.7254
3 Tc 0.5000 0.0000 0.0000
4 Tc 0.0000 0.5000 0.0000
5 Tm 0.0000 0.0000 0.5000
6 B 0.0000 0.0000 0.0000

---

Record 3
Compound: Tl3Sn4Pb4
Source: the Alexandria database
Functional: PBE
Structure: relaxed

Summary:
Theoretical density: 8.6 Mg/m³
Volume: 33.482 Å³/atom
Formation energy: 0.116 eV per atom
Uncorrected energy: -3.33 eV/atom

a b c (Å): 5.0605 8.9453 9.6231
angles (deg): 117.70 105.24 90.00
Atoms (fractional coordinates):
1 Tl 0.8764 0.8764 0.7528
2 Tl 0.1236 0.1236 0.2472
3 Tl 0.0000 0.5000 0.0000
4 Sn 0.3215 0.5314 0.6430
5 Sn 0.6785 0.8885 0.3570
6 Sn 0.6785 0.4686 0.3570
7 Sn 0.3215 0.1115 0.6430
8 Pb 0.2112 0.7112 0.4224
9 Pb 0.5000 0.1760 0.0000
10 Pb 0.5000 0.8240 0.0000
11 Pb 0.7888 0.2888 0.5776

---

Record 4
Compound: Y3ErTl3Te8
Source: the Alexandria database
Functional: PBE
Structure: relaxed

Summary:
Theoretical density: 6.3 Mg/m³
Formation energy from raw total energies: -1.062 eV per atom
Volume: 36.454 Å³/atom
Uncorrected energy: -4.81 eV/atom

a b c (Å): 8.7739 8.7866 9.6369
angles (deg): 117.19 90.00 119.97
Atoms (fractional coordinates):
1 Te 0.7622 0.0233 0.2856
2 Te 0.7622 0.5244 0.2855
3 Te 0.7388 0.4776 0.7164
4 Te 0.2378 0.4756 0.7145
5 Te 0.7389 0.9767 0.7144
6 Te 0.2612 0.5224 0.2836
7 Te 0.2611 0.0233 0.2856
8 Te 0.2378 0.9767 0.7144
9 Y 0.0000 0.5000 0.5000
10 Y 0.5000 0.0000 0.5000
11 Y 0.5000 0.5000 0.5000
12 Tl 0.0000 0.0000 0.0000
13 Tl 0.5000 0.5000 0.0000
14 Tl 0.0000 0.5000 0.0000
15 Er 0.0000 0.0000 0.5000

---

Record 5
Compound: LaDyHoTh2
Source: the Alexandria database
Functional: PBE
Structure: relaxed

Summary:
Theoretical density: 8.8 Mg/m³
Volume: 35.308 Å³/atom
Formation energy: 0.407 eV per atom
Uncorrected energy: -5.38 eV/atom

a b c (Å): 6.6908 6.6844 8.5730
angles (deg): 112.95 90.00 90.00
Atoms (fractional coordinates):
1 Ho 0.2500 0.8479 0.6959
2 Ho 0.7500 0.1521 0.3041
3 La 0.7500 0.3500 0.7000
4 La 0.2500 0.6500 0.3000
5 Th 0.5000 0.2437 0.0000
6 Th 0.5000 0.7563 0.0000
7 Th 0.0000 0.2437 0.0000
8 Th 0.0000 0.7563 0.0000
9 Dy 0.2500 0.2098 0.4196
10 Dy 0.7500 0.7902 0.5804

---

Record 6
Compound: CaAcAsP
Source: the Alexandria database
Functional: PBE
Structure: relaxed

Summary:
Theoretical density: 6.0 Mg/m³
Volume: 25.819 Å³/atom
Formation energy: -0.965 eV per atom
Uncorrected energy: -5.01 eV/atom

a b c (Å): 5.2663 5.2663 5.2663
angles (deg): 60.00 60.00 60.00
Atoms (fractional coordinates):
1 Ca 0.2500 0.2500 0.2500
2 As 0.5000 0.5000 0.5000
3 P 0.0000 0.0000 0.0000
4 Ac 0.7500 0.7500 0.7500

---

Record 7
Compound: Mg3ScAl
Source: the Alexandria database
Functional: PBE
Structure: relaxed

Summary:
Theoretical density: 1.4 Mg/m³
Volume: 34.768 Å³/atom
Formation energy: 1.091 eV per atom
Uncorrected energy: -1.88 eV/atom
Polymorph energy (0 for the lowest one): 3.115 eV/f.u.

a b c (Å): 5.5810 5.5810 5.5810
angles (deg): 90.00 90.00 90.00
Atoms (fractional coordinates):
1 Sc 0.0000 0.0000 0.0000
2 Mg 0.0000 0.0000 0.5000
3 Mg 0.5000 0.0000 0.0000
4 Mg 0.0000 0.5000 0.0000
5 Al 0.5000 0.5000 0.5000

---

Record 8
Compound: CdAu2Cl
Source: the Alexandria database
Functional: PBE
Structure: relaxed

Summary:
Theoretical density: 11.1 Mg/m³
Formation energy from raw total energies: 0.058 eV per atom
Volume: 20.332 Å³/atom
Uncorrected energy: -2.27 eV/atom
Polymorph energy (0 for the lowest one): 1.261 eV/f.u.

a b c (Å): 5.5429 5.5429 3.0654
angles (deg): 90.00 90.00 120.29
Atoms (fractional coordinates):
1 Au 0.5000 0.5000 0.0000
2 Au 0.0000 0.0000 0.0000
3 Cd 0.5000 0.0000 0.5000
4 Cl 0.0000 0.5000 0.5000

---

Record 9
Compound: NaCr2MoN
Source: the Alexandria database
Functional: PBE
Structure: relaxed

Summary:
Theoretical density: 6.1 Mg/m³
Formation energy from raw total energies: 0.445 eV per atom
Volume: 12.844 Å³/atom
Uncorrected energy: -7.50 eV/atom

a b c (Å): 3.9241 4.1704 3.9241
angles (deg): 90.00 90.00 90.00
Atoms (fractional coordinates):
1 Na 0.5000 0.5000 0.5000
2 Mo 0.0000 0.5000 0.0000
3 N 0.0000 0.0000 0.0000
4 Cr 0.0000 0.0000 0.5000
5 Cr 0.5000 0.0000 0.0000

---

Record 10
Compound: SbAuI2
Source: the Alexandria database
Functional: PBE
Structure: relaxed

Summary:
Theoretical density: 8.4 Mg/m³
Formation energy from raw total energies: 0.440 eV per atom
Volume: 28.358 Å³/atom
Uncorrected energy: -2.19 eV/atom
Polymorph energy (0 for the lowest one): 0.960 eV/f.u.

a b c (Å): 5.4336 5.4336 5.4336
angles (deg): 60.00 60.00 60.00
Atoms (fractional coordinates):
1 Sb 0.0000 0.0000 0.0000
2 Au 0.5000 0.5000 0.5000
3 I 0.7500 0.7500 0.7500
4 I 0.2500 0.2500 0.2500

---

Record 11
Compound: YTl4I7
Source: the Alexandria database
Functional: PBE
Structure: relaxed

Summary:
Theoretical density: 5.4 Mg/m³
Formation energy from raw total energies: -0.862 eV per atom
Volume: 45.874 Å³/atom
Uncorrected energy: -3.09 eV/atom

a b c (Å): 5.9025 8.4675 12.4642
angles (deg): 113.81 103.70 90.00
Atoms (fractional coordinates):
1 I 0.1144 0.3355 0.2287
2 I 0.7255 0.7721 0.4509
3 I 0.9213 0.2005 0.8425
4 I 0.0787 0.7995 0.1575
5 I 0.8856 0.6645 0.7713
6 I 0.2745 0.2279 0.5491
7 I 0.5000 0.0000 0.0000
8 Y 0.0000 0.0000 0.0000
9 Tl 0.3117 0.8897 0.6233
10 Tl 0.4176 0.4790 0.8352
11 Tl 0.6883 0.1103 0.3767
12 Tl 0.5824 0.5210 0.1648

---

Record 12
Compound: SrVTc2P
Source: the Alexandria database
Functional: PBE
Structure: relaxed

Summary:
Theoretical density: 6.1 Mg/m³
Volume: 19.983 Å³/atom
Formation energy: 0.639 eV per atom
Uncorrected energy: -6.75 eV/atom

a b c (Å): 4.6125 4.6962 4.6125
angles (deg): 90.00 90.00 90.00
Last column: magnetic moment on the atom in μB.
Atoms (fractional coordinates):
1 Tc 0.0000 0.0000 0.5000  0.76
2 Tc 0.5000 0.0000 0.0000  0.69
3 Sr 0.5000 0.5000 0.5000  0.01
4 V 0.0000 0.0000 0.0000  -0.13
5 P 0.0000 0.5000 0.0000  0.00

---

Record 13
Compound: SrRu2Pt
Source: the Alexandria database
Functional: PBE
Structure: relaxed

Summary:
Theoretical density: 9.0 Mg/m³
Volume: 22.368 Å³/atom
Formation energy: 0.073 eV per atom
Uncorrected energy: -6.50 eV/atom
Polymorph energy (0 for the lowest one): 0.000 eV/f.u.

a b c (Å): 4.2965 4.2965 6.1202
angles (deg): 69.50 69.50 59.98
Atoms (fractional coordinates):
1 Pt 0.2920 0.2920 0.1247
2 Sr 0.4983 0.4983 0.5044
3 Ru 0.6898 0.6898 0.9304
4 Ru 0.0198 0.0198 0.9405

---

Record 14
Compound: AlTeRh2
Source: the Alexandria database
Functional: PBE
Structure: relaxed

Summary:
Theoretical density: 9.1 Mg/m³
Formation energy from raw total energies: -0.326 eV per atom
Volume: 16.366 Å³/atom
Uncorrected energy: -5.72 eV/atom
Polymorph energy (0 for the lowest one): 0.432 eV/f.u.

a b c (Å): 3.2167 4.5112 4.5112
angles (deg): 90.00 90.00 90.00
Atoms (fractional coordinates):
1 Rh 0.0000 0.5000 0.5000
2 Rh 0.0000 0.0000 0.0000
3 Al 0.5000 0.0000 0.5000
4 Te 0.5000 0.5000 0.0000

---

Record 15
Compound: MnCo2Pt
Source: the Alexandria database
Functional: PBE
Structure: relaxed

Summary:
Theoretical density: 11.9 Mg/m³
Volume: 12.859 Å³/atom
Formation energy: 0.479 eV per atom
Uncorrected energy: -6.88 eV/atom

a b c (Å): 6.3719 6.3719 5.1692
angles (deg): 51.95 51.95 90.00
Atoms (fractional coordinates):
1 Co 0.8750 0.8312 0.7500
2 Co 0.5812 0.1250 0.2500
3 Co 0.1688 0.6250 0.2500
4 Co 0.3750 0.4188 0.7500
5 Mn 0.5000 0.5000 0.0000
6 Mn 0.2500 0.7500 0.5000
7 Pt 0.0000 0.0000 0.0000
8 Pt 0.7500 0.2500 0.5000

---

Record 16
Compound: Li2TaClO
Source: the Alexandria database
Functional: PBE
Structure: relaxed

Summary:
Theoretical density: 4.9 Mg/m³
Formation energy from raw total energies: -0.243 eV per atom
Volume: 16.833 Å³/atom
Uncorrected energy: -4.74 eV/atom

a b c (Å): 3.5423 6.7077 3.5423
angles (deg): 90.00 90.00 90.00
Last column: magnetic moment on the atom in μB.
Atoms (fractional coordinates):
1 Cl 0.0000 0.5000 0.0000  0.01
2 O 0.0000 0.0000 0.0000  0.09
3 Li 0.5000 0.0000 0.0000  0.00
4 Li 0.0000 0.0000 0.5000  0.00
5 Ta 0.5000 0.5000 0.5000  1.18

---

Record 17
Compound: CsMn3Si
Source: the Alexandria database
Functional: PBE
Structure: relaxed

Summary:
Theoretical density: 4.5 Mg/m³
Formation energy from raw total energies: 0.871 eV per atom
Volume: 23.914 Å³/atom
Uncorrected energy: -5.89 eV/atom
Polymorph energy (0 for the lowest one): 0.000 eV/f.u.

a b c (Å): 4.9265 4.9265 4.9265
angles (deg): 90.00 90.00 90.00
Last column: magnetic moment on the atom in μB.
Atoms (fractional coordinates):
1 Mn 0.0000 0.5000 0.0000  3.88
2 Mn 0.0000 0.0000 0.5000  3.79
3 Mn 0.5000 0.0000 0.0000  3.78
4 Cs 0.5000 0.5000 0.5000  0.04
5 Si 0.0000 0.0000 0.0000  -0.07

---

Record 18
Compound: Dy2CuAgS4
Source: the Alexandria database
Functional: PBE
Structure: relaxed

Summary:
Theoretical density: 5.8 Mg/m³
Formation energy from raw total energies: -1.239 eV per atom
Volume: 22.395 Å³/atom
Uncorrected energy: -5.32 eV/atom

a b c (Å): 7.7977 7.7977 8.5417
angles (deg): 123.20 123.20 79.60
Atoms (fractional coordinates):
1 Cu 0.5000 0.5000 0.5000
2 Cu 0.0000 0.0000 0.0000
3 Dy 0.5000 0.0000 0.0000
4 Dy 0.0000 0.0000 0.5000
5 Dy 0.5000 0.5000 0.0000
6 Dy 0.5000 0.0000 0.5000
7 S 0.2397 0.2605 0.5409
8 S 0.7430 0.1906 0.9668
9 S 0.6906 0.2430 0.4667
10 S 0.3094 0.7570 0.5332
11 S 0.2570 0.8094 0.0333
12 S 0.7603 0.7395 0.4591
13 S 0.7605 0.7397 0.0409
14 S 0.2395 0.2603 0.9591
15 Ag 0.0000 0.5000 0.5000
16 Ag 0.0000 0.5000 0.0000

---

Record 19
Compound: CoAsW2
Source: the Alexandria database
Functional: PBE
Structure: relaxed

Summary:
Theoretical density: 14.3 Mg/m³
Volume: 14.580 Å³/atom
Formation energy: 0.314 eV per atom
Uncorrected energy: -9.10 eV/atom

a b c (Å): 2.8534 2.8534 7.1630
angles (deg): 90.00 90.00 90.00
Last column: magnetic moment on the atom in μB.
Atoms (fractional coordinates):
1 W 0.5000 0.5000 0.2619  0.05
2 W 0.0000 0.0000 0.9755  -0.02
3 As 0.0000 0.0000 0.5268  0.01
4 Co 0.5000 0.5000 0.7358  0.55

---

Record 20
Compound: CaMgInBi
Source: the Alexandria database
Functional: PBE
Structure: relaxed

Summary:
Theoretical density: 5.8 Mg/m³
Volume: 28.010 Å³/atom
Formation energy: -0.323 eV per atom
Uncorrected energy: -2.88 eV/atom

a b c (Å): 5.4112 5.4112 5.4112
angles (deg): 60.00 60.00 60.00
Atoms (fractional coordinates):
1 In 0.0000 0.0000 0.0000
2 Ca 0.2500 0.2500 0.2500
3 Bi 0.5000 0.5000 0.5000
4 Mg 0.7500 0.7500 0.7500